DFT (GGA-PBE) results for a geometry-optimized KCoW2S8 structure.

Values from the calculation:
Its crystal system is trigonal. For the total magnetic moment, the calculation gives 0.000 μB per formula unit. The uncorrected formation energy is -0.431 eV/atom. The calculated total energy is -216.92 eV for the cell shown.

a b c (Å): 6.0842 6.0842 27.7785
angles (deg): 90.00 90.00 120.00
Space group R-3 (No. 148, hexagonal axes)
Inequivalent atoms, fractional coordinates:
K 0.0000 0.0000 0.0000
Co 0.0000 0.0000 0.5000
W 0.0000 0.0000 0.2387
S 0.0000 0.0000 0.3174
S 0.0006 0.6983 0.5492